# MgPtN2

An optimized crystal structure of MgPtN2 (PBE, the Alexandria database).

Geometry as POSCAR:
```
MgPtN2
1.0
1.6171 0.9336 5.9564
-1.6171 0.9336 5.9564
0.0000 -1.8672 5.9564
Mg Pt N
1 1 2
direct
0.0000 0.0000 0.0000
0.5000 0.5000 0.5000
0.1117 0.1117 0.1117
0.8883 0.8883 0.8883
```

Values from the calculation:
As for the space group: R-3m (166). The raw formation energy is 12.41 kcal/mol of atoms. The raw total energy comes out at -5.533 eV/atom.

---

# ErTiSb

An optimized crystal structure of ErTiSb (PBE, the Alexandria database).

Geometry as POSCAR:
```
ErTiSb
1.0
4.1847 0.0000 0.0000
0.0000 4.1847 0.0000
0.0000 0.0000 7.8649
Er Ti Sb
2 2 2
direct
0.2500 0.2500 0.1523
0.7500 0.7500 0.8477
0.2500 0.7500 0.5000
0.7500 0.2500 0.5000
0.2500 0.2500 0.7515
0.7500 0.7500 0.2485
```

Values from the calculation:
As for the space group: P4/nmm (129). The raw formation energy is -16.69 kcal/mol of atoms. The raw total energy comes out at -6.250 eV/atom.

---

# SiSeN2O

An optimized crystal structure of SiSeN2O (PBE, the Alexandria database).

Geometry as POSCAR:
```
SiSeN2O
1.0
3.7776 0.0000 0.0000
0.0000 3.7776 0.0000
0.0000 0.0000 3.3845
Si Se N O
1 1 2 1
direct
0.0000 0.0000 0.0000
0.5000 0.5000 0.5000
0.0000 0.5000 0.0000
0.5000 0.0000 0.0000
0.0000 0.0000 0.5000
```

Values from the calculation:
As for the space group: P4/mmm (123). The raw formation energy is 6.53 kcal/mol of atoms. The raw total energy comes out at -5.820 eV/atom.

---

# KBaAs2

An optimized crystal structure of KBaAs2 (PBE, the Alexandria database).

Geometry as POSCAR:
```
KBaAs2
1.0
-4.4925 4.4925 3.1401
4.4925 -4.4925 3.1401
4.4925 4.4925 -3.1401
K Ba As
2 2 4
direct
0.0000 0.0000 0.0000
0.7500 0.2500 0.5000
0.2500 0.7500 0.5000
0.5000 0.5000 0.0000
0.1213 0.6250 0.9963
0.3750 0.3713 0.4963
0.6287 0.1250 0.0037
0.8750 0.8787 0.5037
```

Values from the calculation:
The energy of formation from the pure elements comes out at -90.8 kJ/mol of formula units. As for the space group: I-42d (122). The raw total energy comes out at -3.315 eV/atom. For the relative energy among the computed polymorphs, the calculation gives 0.450 eV per atom.

---

# BeFeOs

An optimized crystal structure of BeFeOs (PBE, the Alexandria database).

Geometry as POSCAR:
```
BeFeOs
1.0
4.7493 0.0000 0.0000
0.0000 3.9842 0.0000
0.0000 0.0000 7.0779
Be Fe Os
4 4 4
direct
0.1904 0.2500 0.0885
0.3096 0.7500 0.5885
0.6904 0.2500 0.4115
0.8096 0.7500 0.9115
0.0257 0.2500 0.7686
0.4743 0.7500 0.2686
0.5257 0.2500 0.7314
0.9743 0.7500 0.2314
0.1878 0.2500 0.4236
0.3122 0.7500 0.9236
0.6878 0.2500 0.0764
0.8122 0.7500 0.5764
```

Values from the calculation:
The energy of formation from the pure elements comes out at 3.0 kJ/mol of formula units. As for the space group: Pnma (62). The raw total energy comes out at -7.796 eV/atom. For the relative energy among the computed polymorphs, the calculation gives 0.119 eV per atom.

---

# MnCd2Se

An optimized crystal structure of MnCd2Se (PBE, the Alexandria database).

Geometry as POSCAR:
```
MnCd2Se
1.0
3.5974 0.0000 0.0000
0.0000 1.9973 6.0180
0.0000 -1.9973 6.0180
Mn Cd Se
1 2 1
direct
0.0000 0.0000 0.0000
0.0000 0.2364 0.2364
0.5000 0.5878 0.5878
0.5000 0.8552 0.8552
```

Values from the calculation:
As for the space group: Amm2 (38). The raw formation energy is 0.00 kcal/mol of atoms. The raw total energy comes out at -3.621 eV/atom.

---

# CeDy5Tm4

An optimized crystal structure of CeDy5Tm4 (PBE, the Alexandria database).

Geometry as POSCAR:
```
CeDy5Tm4
1.0
-5.2359 5.2359 2.8703
5.2359 -5.2359 2.8703
5.2359 5.2359 -2.8703
Ce Dy Tm
1 5 4
direct
0.0000 0.0000 0.0000
0.4707 0.4707 0.0000
0.5981 0.5981 0.6281
0.5981 0.9700 0.0000
0.9700 0.5981 0.0000
0.9700 0.9700 0.3719
0.2791 0.6082 0.3292
0.2791 0.9499 0.6708
0.6082 0.2791 0.3292
0.9499 0.2791 0.6708
```

Values from the calculation:
The energy of formation from the pure elements comes out at 269.6 kJ/mol of formula units. As for the space group: I4mm (107). The raw total energy comes out at -4.404 eV/atom. For the relative energy among the computed polymorphs, the calculation gives 0.168 eV per atom.

---

# AcCe2Zr

An optimized crystal structure of AcCe2Zr (PBE, the Alexandria database).

Geometry as POSCAR:
```
AcCe2Zr
1.0
3.4955 0.0000 0.0000
0.0000 3.4955 0.0000
0.0000 0.0000 10.0161
Ac Ce Zr
1 2 1
direct
0.0000 0.0000 0.0000
0.5000 0.5000 0.2748
0.5000 0.5000 0.7252
0.0000 0.0000 0.5000
```

Values from the calculation:
The energy of formation from the pure elements comes out at 77.0 kJ/mol of formula units. As for the space group: P4/mmm (123). The raw total energy comes out at -5.931 eV/atom. For the relative energy among the computed polymorphs, the calculation gives 0.000 eV per atom.

---

# Th6TeAs5

An optimized crystal structure of Th6TeAs5 (PBE, the Alexandria database).

Geometry as POSCAR:
```
Th6TeAs5
1.0
3.7129 -6.4351 0.0000
3.7129 6.4351 0.0000
-2.4839 0.0000 7.0076
Th Te As
6 1 5
direct
0.0647 0.4132 0.7391
0.2370 0.2370 0.2564
0.4132 0.0647 0.7391
0.5868 0.9353 0.2609
0.7630 0.7630 0.7436
0.9353 0.5868 0.2609
0.5000 0.5000 0.0000
0.0000 0.0000 0.5000
0.1678 0.8322 0.0000
0.3399 0.6601 0.5000
0.6601 0.3399 0.5000
0.8322 0.1678 0.0000
```

Values from the calculation:
As for the space group: C2/m (12). The raw formation energy is -30.89 kcal/mol of atoms. The raw total energy comes out at -7.249 eV/atom.

---

# CaAs2Br

An optimized crystal structure of CaAs2Br (PBE, the Alexandria database).

Geometry as POSCAR:
```
CaAs2Br
1.0
3.9523 0.0000 0.0000
0.0000 3.9523 0.0000
0.0000 0.0000 6.3054
Ca As Br
1 2 1
direct
0.0000 0.0000 0.0000
0.0000 0.5000 0.5000
0.5000 0.0000 0.5000
0.5000 0.5000 0.0000
```

Values from the calculation:
As for the space group: P4/mmm (123). The raw formation energy is -14.83 kcal/mol of atoms. The raw total energy comes out at -3.886 eV/atom. For the relative energy among the computed polymorphs, the calculation gives 0.234 eV per atom.

---

# BaSiNi2B

An optimized crystal structure of BaSiNi2B (PBE, the Alexandria database).

Geometry as POSCAR:
```
BaSiNi2B
1.0
4.3041 0.0000 0.0000
0.0000 4.3041 0.0000
0.0000 0.0000 6.2703
Ba Si Ni B
1 1 2 1
direct
0.0000 0.0000 0.0000
0.0000 0.0000 0.5000
0.0000 0.5000 0.5000
0.5000 0.0000 0.5000
0.5000 0.5000 0.0000
```

Values from the calculation:
As for the space group: P4/mmm (123). The raw formation energy is 23.08 kcal/mol of atoms. The raw total energy comes out at -4.116 eV/atom.

---

# KAlH2

An optimized crystal structure of KAlH2 (PBE, the Alexandria database).

Geometry as POSCAR:
```
KAlH2
1.0
0.0000 3.1704 3.1704
3.1704 0.0000 3.1704
3.1704 3.1704 0.0000
K Al H
1 1 2
direct
0.0000 0.0000 0.0000
0.5000 0.5000 0.5000
0.2500 0.2500 0.2500
0.7500 0.7500 0.7500
```

Values from the calculation:
As for the space group: Fm-3m (225). The raw total energy comes out at -2.406 eV/atom. For the relative energy among the computed polymorphs, the calculation gives 0.678 eV per atom.

---

# Dy12Er7Sc

An optimized crystal structure of Dy12Er7Sc (PBE, the Alexandria database).

Geometry as POSCAR:
```
Dy12Er7Sc
1.0
7.4331 4.2915 3.2689
-7.4331 4.2915 3.2689
0.0000 -8.5830 3.2689
Dy Er Sc
12 7 1
direct
0.0758 0.2805 0.8083
0.1226 0.4434 0.2115
0.1917 0.9242 0.7195
0.2115 0.1226 0.4434
0.2805 0.8083 0.0758
0.4434 0.2115 0.1226
0.5566 0.7885 0.8774
0.7195 0.1917 0.9242
0.7885 0.8774 0.5566
0.8083 0.0758 0.2805
0.8774 0.5566 0.7885
0.9242 0.7195 0.1917
0.0000 0.0000 0.0000
0.1776 0.5014 0.6166
0.3834 0.8224 0.4986
0.4986 0.3834 0.8224
0.5014 0.6166 0.1776
0.6166 0.1776 0.5014
0.8224 0.4986 0.3834
0.5000 0.5000 0.5000
```

Values from the calculation:
The energy of formation from the pure elements comes out at 354.8 kJ/mol of formula units. As for the space group: R-3 (148). The raw total energy comes out at -4.491 eV/atom. For the relative energy among the computed polymorphs, the calculation gives 0.000 eV per atom.

---

# UP2Ru5W

An optimized crystal structure of UP2Ru5W (PBE, the Alexandria database).

Geometry as POSCAR:
```
UP2Ru5W
1.0
3.8710 0.0000 0.0000
0.0000 3.8710 0.0000
0.0000 0.0000 10.7564
U P Ru W
1 2 5 1
direct
0.0000 0.0000 0.0000
0.5000 0.5000 0.2128
0.5000 0.5000 0.7872
0.0000 0.5000 0.3372
0.0000 0.5000 0.6628
0.5000 0.0000 0.3372
0.5000 0.0000 0.6628
0.5000 0.5000 0.0000
0.5000 0.5000 0.5000
```

Values from the calculation:
The energy of formation from the pure elements comes out at 175.7 kJ/mol of formula units. As for the space group: P4/mmm (123). The raw total energy comes out at -8.847 eV/atom.

---

# Be2Sn2Cl7

An optimized crystal structure of Be2Sn2Cl7 (PBE, the Alexandria database).

Geometry as POSCAR:
```
Be2Sn2Cl7
1.0
4.6780 -5.8591 0.0000
4.6780 5.8591 0.0000
-4.2028 0.0000 13.1341
Be Sn Cl
4 4 14
direct
0.1582 0.1873 0.2317
0.1873 0.1582 0.7317
0.8127 0.8418 0.2683
0.8418 0.8127 0.7683
0.1226 0.6500 0.4542
0.3500 0.8774 0.0458
0.6500 0.1226 0.9542
0.8774 0.3500 0.5458
0.0441 0.7448 0.8557
0.0859 0.9141 0.2500
0.2017 0.3913 0.6699
0.2552 0.9559 0.6443
0.2616 0.3649 0.3734
0.3649 0.2616 0.8734
0.3913 0.2017 0.1699
0.6087 0.7983 0.8301
0.6351 0.7384 0.1266
0.7384 0.6351 0.6266
0.7448 0.0441 0.3557
0.7983 0.6087 0.3301
0.9141 0.0859 0.7500
0.9559 0.2552 0.1443
```

Values from the calculation:
As for the space group: C2/c (15). The raw formation energy is -24.36 kcal/mol of atoms. The raw total energy comes out at -3.637 eV/atom.

---

# Li7PdAu2

An optimized crystal structure of Li7PdAu2 (PBE, the Alexandria database).

Geometry as POSCAR:
```
Li7PdAu2
1.0
0.0000 4.6093 4.6093
4.6093 0.0000 4.6093
4.6093 4.6093 0.0000
Li Pd Au
7 1 2
direct
0.0000 0.0000 0.0000
0.2543 0.2543 0.7457
0.2543 0.7457 0.2543
0.2543 0.7457 0.7457
0.7457 0.2543 0.2543
0.7457 0.2543 0.7457
0.7457 0.7457 0.2543
0.5000 0.5000 0.5000
0.2500 0.2500 0.2500
0.7500 0.7500 0.7500
```

Values from the calculation:
The energy of formation from the pure elements comes out at 112.1 kJ/mol of formula units. As for the space group: Fm-3m (225). The raw total energy comes out at -2.398 eV/atom. For the relative energy among the computed polymorphs, the calculation gives 0.455 eV per atom.

---

# AsPd

An optimized crystal structure of AsPd (PBE, the Alexandria database).

Geometry as POSCAR:
```
AsPd
1.0
3.9328 0.0000 0.0000
0.0000 4.8306 0.0000
-1.9667 0.0000 4.1215
As Pd
2 2
direct
0.2072 0.2500 0.4125
0.7928 0.7500 0.5875
0.0977 0.7500 0.1967
0.9023 0.2500 0.8033
```

Values from the calculation:
The energy of formation from the pure elements comes out at -50.3 kJ/mol of formula units. As for the space group: P2_1/m (11). The raw total energy comes out at -5.182 eV/atom.

---

# MnV3Te

An optimized crystal structure of MnV3Te (PBE, the Alexandria database).

Geometry as POSCAR:
```
MnV3Te
1.0
4.3882 0.0000 0.0000
0.0000 4.3882 0.0000
0.0000 0.0000 4.3882
Mn V Te
1 3 1
direct
0.0000 0.0000 0.0000
0.0000 0.0000 0.5000
0.0000 0.5000 0.0000
0.5000 0.0000 0.0000
0.5000 0.5000 0.5000
```

Values from the calculation:
As for the space group: Pm-3m (221). The raw formation energy is 14.02 kcal/mol of atoms. The raw total energy comes out at -7.325 eV/atom. For the relative energy among the computed polymorphs, the calculation gives 0.000 eV per atom.

---

# Nd2Ni2Cl

An optimized crystal structure of Nd2Ni2Cl (PBE, the Alexandria database).

Geometry as POSCAR:
```
Nd2Ni2Cl
1.0
2.0128 1.1621 8.1019
-2.0128 1.1621 8.1019
0.0000 -2.3242 8.1019
Nd Ni Cl
2 2 1
direct
0.0759 0.0759 0.0759
0.9241 0.9241 0.9241
0.3327 0.3327 0.3327
0.6673 0.6673 0.6673
0.5000 0.5000 0.5000
```

Values from the calculation:
As for the space group: R-3m (166). The raw formation energy is -19.85 kcal/mol of atoms. The raw total energy comes out at -5.450 eV/atom.

---

# Ba2Tm2CuPtO8

An optimized crystal structure of Ba2Tm2CuPtO8 (PBE, the Alexandria database).

Geometry as POSCAR:
```
Ba2Tm2CuPtO8
1.0
13.2900 0.0000 0.0000
0.0000 5.6896 0.0000
0.0000 0.0000 10.3853
Ba Tm Cu Pt O
8 8 4 4 32
direct
0.0761 0.2500 0.0904
0.2067 0.7500 0.3123
0.2933 0.2500 0.8123
0.4239 0.7500 0.5904
0.5761 0.2500 0.4096
0.7067 0.7500 0.1877
0.7933 0.2500 0.6877
0.9239 0.7500 0.9096
0.0828 0.2500 0.4856
0.1416 0.7500 0.6849
0.3584 0.2500 0.1849
0.4172 0.7500 0.9856
0.5828 0.2500 0.0144
0.6416 0.7500 0.8151
0.8584 0.2500 0.3151
0.9172 0.7500 0.5144
0.0401 0.2500 0.7645
0.4599 0.7500 0.2645
0.5401 0.2500 0.7355
0.9599 0.7500 0.2355
0.1950 0.7500 0.9650
0.3050 0.2500 0.4650
0.6950 0.7500 0.5350
0.8050 0.2500 0.0350
0.0089 0.0047 0.6334
0.0089 0.4953 0.6334
0.0878 0.7500 0.1060
0.1146 0.5096 0.8562
0.1146 0.9904 0.8562
0.2023 0.2500 0.3119
0.2141 0.0090 0.5542
0.2141 0.4910 0.5542
0.2859 0.5090 0.0542
0.2859 0.9910 0.0542
0.2977 0.7500 0.8119
0.3854 0.0096 0.3562
0.3854 0.4904 0.3562
0.4122 0.2500 0.6060
0.4911 0.5047 0.1334
0.4911 0.9953 0.1334
0.5089 0.0047 0.8666
0.5089 0.4953 0.8666
0.5878 0.7500 0.3940
0.6146 0.5096 0.6438
0.6146 0.9904 0.6438
0.7023 0.2500 0.1881
0.7141 0.0090 0.9458
0.7141 0.4910 0.9458
0.7859 0.5090 0.4458
0.7859 0.9910 0.4458
0.7977 0.7500 0.6881
0.8854 0.0096 0.1438
0.8854 0.4904 0.1438
0.9122 0.2500 0.8940
0.9911 0.5047 0.3666
0.9911 0.9953 0.3666
```

Values from the calculation:
As for the space group: Pnma (62). The raw formation energy is -53.08 kcal/mol of atoms. The raw total energy comes out at -6.773 eV/atom.

---

no.,volume (A^3/atom),ρ (g/cm3)
1,13.5,7.61
2,23.0,8.12
3,9.7,5.19
4,31.7,4.27
5,11.2,12.65
6,21.6,6.89
7,31.5,8.59
8,30.6,8.12
9,27.9,9.39
10,24.6,4.55
11,23.2,4.20
12,15.9,1.77
13,31.3,8.40
14,17.9,10.19
15,32.7,2.32
16,19.6,4.65
17,19.6,7.69
18,16.9,6.59
19,22.7,6.45
20,14.0,8.45